An optimized crystal structure of MnTl3P. Source: Alexandria, functional PBEsol.

Cell lengths 5.2964, 5.2964, 5.2964 Å; angles 90.00, 90.00, 90.00 degrees
Closest atoms and distances in Å follow each position.
Space group Pm-3m (No. 221)
One atom of each set of equivalent atoms:
Mn (0.0000, 0.0000, 0.0000)  12 Tl 3.75
Tl (0.0000, 0.5000, 0.5000)  2 P 2.65
P (0.5000, 0.5000, 0.5000)  6 Tl 2.65

Computed properties:
E_form (meV/atom): 886
M_tot (μB/atom): 0.887
E (eV/atom): -3.80